The following is a PBE-GGA calculation of a geometry-optimized V2CdTeRu structure, from Alexandria.

Lattice parameters (Å, degrees): 4.760 4.760 5.237 90.00 90.00 90.00
Space group P4/mmm (No. 123)
Inequivalent atoms, fractional coordinates:
V 0.000 0.500 0.000 [2 per cell]
Cd 0.000 0.000 0.000 [1 per cell]
Te 0.000 0.000 0.500 [1 per cell]
Ru 0.500 0.500 0.500 [1 per cell]

Calculated values
* density: 6.20 g/cm3
* magnetization: 0.00 μB/f.u.
* crystal system: tetragonal
* electronic total energy: -20.214 eV/cell

The following is a PBE-GGA calculation of a geometry-optimized YCd2TeRu structure, from Alexandria.

Lattice parameters (Å, degrees): 5.847 5.847 5.639 90.00 90.00 90.00
Space group P4/mmm (No. 123)
Inequivalent atoms, fractional coordinates:
Y 0.000 0.000 0.000 [1 per cell]
Cd 0.000 0.500 0.000 [2 per cell]
Te 0.000 0.000 0.500 [1 per cell]
Ru 0.500 0.500 0.500 [1 per cell]

Calculated values
* density: 4.67 g/cm3
* magnetization: 2.49 μB/f.u.
* crystal system: tetragonal
* electronic total energy: -14.929 eV/cell

The following is a PBE-GGA calculation of a geometry-optimized Th4CdRu2 structure, from Alexandria.

Lattice parameters (Å, degrees): 7.010 7.096 8.827 107.57 107.18 104.63
Space group P1 (No. 1)
Inequivalent atoms, fractional coordinates:
Th 0.000 0.000 0.000 [1 per cell]
Th 0.039 0.711 0.589 [1 per cell]
Th 0.102 0.274 0.716 [1 per cell]
Th 0.270 0.601 0.193 [1 per cell]
Th 0.508 0.542 0.594 [1 per cell]
Th 0.567 0.101 0.713 [1 per cell]
Th 0.652 0.153 0.305 [1 per cell]
Th 0.730 0.562 0.113 [1 per cell]
Cd 0.155 0.023 0.377 [1 per cell]
Cd 0.428 0.797 0.929 [1 per cell]
Ru 0.043 0.372 0.330 [1 per cell]
Ru 0.365 0.195 0.975 [1 per cell]
Ru 0.708 0.842 0.474 [1 per cell]
Ru 0.887 0.522 0.833 [1 per cell]

Calculated values
* density: 11.13 g/cm3
* magnetization: 0.00 μB/f.u.
* ΔH_f (0 K): -313 meV/atom
* crystal system: triclinic

The following is a PBE-GGA calculation of a geometry-optimized Th2CdRu structure, from Alexandria.

Lattice parameters (Å, degrees): 5.741 9.152 8.128 90.00 90.00 90.00
Space group Ima2 (No. 46)
Inequivalent atoms, fractional coordinates:
Th 0.250 0.123 0.000 [4 per cell]
Th 0.250 0.688 0.188 [4 per cell]
Cd 0.000 0.000 0.360 [4 per cell]
Ru 0.250 0.123 0.643 [4 per cell]

Calculated values
* offset from the most stable computed form: 4.8 kJ/mol of atoms
* density: 10.54 g/cm3
* magnetization: 0.00 μB/f.u.
* ΔH_f (0 K): -209 meV/atom
* crystal system: orthorhombic

The following is a PBE-GGA calculation of a geometry-optimized Th2CdRu structure, from Alexandria.

Lattice parameters (Å, degrees): 4.1104 4.1104 23.9766 90.00 90.00 120.00
Space group R3m (No. 160, hexagonal axes)
Inequivalent atoms, fractional coordinates:
Th 0.0000 0.0000 0.0000 [3 per cell]
Th 0.0000 0.0000 0.2060 [3 per cell]
Cd 0.0000 0.0000 0.4353 [3 per cell]
Ru 0.0000 0.0000 0.6029 [3 per cell]

Calculated values
* offset from the most stable computed form: 0.0 kJ/mol of atoms
* density: 9.62 g/cm3
* magnetization: 0.00 μB/f.u.
* ΔH_f (0 K): -258 meV/atom
* crystal system: trigonal

The following is a PBE-GGA calculation of a geometry-optimized Th3CdRu structure, from Alexandria.

Lattice parameters (Å, degrees): 11.796 5.538 9.249 90.00 111.00 90.00
Space group C2/m (No. 12)
Inequivalent atoms, fractional coordinates:
Th 0.130 0.000 0.430 [4 per cell]
Th 0.134 0.500 0.765 [4 per cell]
Th 0.142 0.500 0.145 [4 per cell]
Cd 0.092 0.000 0.933 [4 per cell]
Ru 0.106 0.500 0.438 [4 per cell]

Calculated values
* density: 10.71 g/cm3
* magnetization: 0.00 μB/f.u.
* ΔH_f (0 K): -218 meV/atom
* crystal system: monoclinic

The following is a PBE-GGA calculation of a geometry-optimized Th2CdRu structure, from Alexandria.

Lattice parameters (Å, degrees): 4.0952 4.0952 29.3497 90.00 90.00 120.00
Space group R-3m (No. 166, hexagonal axes)
Inequivalent atoms, fractional coordinates:
Th 0.0000 0.0000 0.1159 [6 per cell]
Cd 0.0000 0.0000 0.0000 [3 per cell]
Ru 0.0000 0.0000 0.5000 [3 per cell]

Calculated values
* offset from the most stable computed form: 23.2 kJ/mol of atoms
* density: 7.92 g/cm3
* magnetization: 0.00 μB/f.u.
* ΔH_f (0 K): -18 meV/atom
* crystal system: trigonal

The following is a PBE-GGA calculation of a geometry-optimized Th2CdRu structure, from Alexandria.

Lattice parameters (Å, degrees): 3.521 3.521 8.279 90.00 90.00 90.00
Space group P4/mmm (No. 123)
Inequivalent atoms, fractional coordinates:
Th 0.000 0.000 0.209 [2 per cell]
Cd 0.500 0.500 0.500 [1 per cell]
Ru 0.500 0.500 0.000 [1 per cell]

Calculated values
* offset from the most stable computed form: 0.9 kJ/mol of atoms
* density: 10.96 g/cm3
* magnetization: 0.00 μB/f.u.
* ΔH_f (0 K): -249 meV/atom
* crystal system: tetragonal

The following is a PBE-GGA calculation of a geometry-optimized YThCdRu structure, from Alexandria.

Lattice parameters (Å, degrees): 7.280 7.280 7.280 90.00 90.00 90.00
Space group F-43m (No. 216)
Inequivalent atoms, fractional coordinates:
Y 0.000 0.000 0.000 [4 per cell]
Th 0.000 0.000 0.500 [4 per cell]
Cd 0.250 0.250 0.750 [4 per cell]
Ru 0.250 0.250 0.250 [4 per cell]

Calculated values
* density: 9.20 g/cm3
* magnetization: 0.00 μB/f.u.
* ΔH_f (0 K): -212 meV/atom
* crystal system: cubic

The following is a PBE-GGA calculation of a geometry-optimized Ti3CdRu structure, from Alexandria.

Lattice parameters (Å, degrees): 4.723 4.723 4.723 90.00 90.00 90.00
Space group Pm-3m (No. 221)
Inequivalent atoms, fractional coordinates:
Ti 0.000 0.000 0.500 [3 per cell]
Cd 0.500 0.500 0.500 [1 per cell]
Ru 0.000 0.000 0.000 [1 per cell]

Calculated values
* offset from the most stable computed form: 0.0 kJ/mol of atoms
* density: 5.63 g/cm3
* magnetization: 1.47 μB/f.u.
* ΔH_f (0 K): 334 meV/atom
* crystal system: cubic

The following is a PBE-GGA calculation of a geometry-optimized TiCd3Ru structure, from Alexandria.

Lattice parameters (Å, degrees): 5.051 5.051 5.051 90.00 90.00 90.00
Space group Pm-3m (No. 221)
Inequivalent atoms, fractional coordinates:
Ti 0.000 0.000 0.000 [1 per cell]
Cd 0.000 0.500 0.500 [3 per cell]
Ru 0.500 0.500 0.500 [1 per cell]

Calculated values
* offset from the most stable computed form: 0.0 kJ/mol of atoms
* density: 6.26 g/cm3
* magnetization: 0.01 μB/f.u.
* ΔH_f (0 K): 1012 meV/atom
* crystal system: cubic

The following is a PBE-GGA calculation of a geometry-optimized TiCd3Ru structure, from Alexandria.

Lattice parameters (Å, degrees): 5.184 5.184 5.184 90.00 90.00 90.00
Space group Pm-3m (No. 221)
Inequivalent atoms, fractional coordinates:
Ti 0.000 0.000 0.000 [1 per cell]
Cd 0.000 0.000 0.500 [3 per cell]
Ru 0.500 0.500 0.500 [1 per cell]

Calculated values
* offset from the most stable computed form: 51.1 kJ/mol of atoms
* density: 5.80 g/cm3
* magnetization: 4.09 μB/f.u.
* ΔH_f (0 K): 1541 meV/atom
* crystal system: cubic

The following is a PBE-GGA calculation of a geometry-optimized TiCd2Ru2 structure, from Alexandria.

Lattice parameters (Å, degrees): 6.360 6.360 4.454 90.00 90.00 90.00
Space group P4/mbm (No. 127)
Inequivalent atoms, fractional coordinates:
Ti 0.000 0.000 0.000 [2 per cell]
Cd 0.167 0.333 0.500 [4 per cell]
Ru 0.140 0.640 0.000 [4 per cell]

Calculated values
* density: 8.75 g/cm3
* magnetization: 0.00 μB/f.u.
* ΔH_f (0 K): 124 meV/atom
* crystal system: tetragonal

The following is a PBE-GGA calculation of a geometry-optimized TiCdRuW2 structure, from Alexandria.

Lattice parameters (Å, degrees): 4.608 4.608 4.567 90.00 90.00 90.00
Space group P4/mmm (No. 123)
Inequivalent atoms, fractional coordinates:
Ti 0.000 0.000 0.000 [1 per cell]
Cd 0.500 0.500 0.500 [1 per cell]
Ru 0.000 0.000 0.500 [1 per cell]
W 0.000 0.500 0.000 [2 per cell]

Calculated values
* density: 10.77 g/cm3
* magnetization: 0.00 μB/f.u.
* ΔH_f (0 K): 1558 meV/atom
* crystal system: tetragonal

The following is a PBE-GGA calculation of a geometry-optimized Tl2CdRu structure, from Alexandria.

Lattice parameters (Å, degrees): 3.071 4.687 13.753 90.00 90.00 90.00
Space group Immm (No. 71)
Inequivalent atoms, fractional coordinates:
Tl 0.000 0.000 0.174 [4 per cell]
Cd 0.000 0.500 0.000 [2 per cell]
Ru 0.000 0.500 0.500 [2 per cell]

Calculated values
* offset from the most stable computed form: 2.7 kJ/mol of atoms
* density: 10.44 g/cm3
* magnetization: 0.00 μB/f.u.
* ΔH_f (0 K): 324 meV/atom
* crystal system: orthorhombic

The following is a PBE-GGA calculation of a geometry-optimized Tl2CdRu structure, from Alexandria.

Lattice parameters (Å, degrees): 4.344 4.344 8.844 90.00 90.00 90.00
Space group I4/mmm (No. 139)
Inequivalent atoms, fractional coordinates:
Tl 0.000 0.500 0.250 [4 per cell]
Cd 0.000 0.000 0.000 [2 per cell]
Ru 0.000 0.000 0.500 [2 per cell]

Calculated values
* offset from the most stable computed form: 20.3 kJ/mol of atoms
* density: 12.38 g/cm3
* magnetization: 0.00 μB/f.u.
* ΔH_f (0 K): 506 meV/atom
* crystal system: tetragonal

The following is a PBE-GGA calculation of a geometry-optimized Tl2CdRu structure, from Alexandria.

Lattice parameters (Å, degrees): 3.327 3.327 8.278 90.00 90.00 90.00
Space group P4mm (No. 99)
Inequivalent atoms, fractional coordinates:
Tl 0.000 0.000 0.000 [1 per cell]
Tl 0.500 0.500 0.323 [1 per cell]
Cd 0.000 0.000 0.614 [1 per cell]
Ru 0.500 0.500 0.806 [1 per cell]

Calculated values
* offset from the most stable computed form: 5.4 kJ/mol of atoms
* density: 11.28 g/cm3
* magnetization: 0.00 μB/f.u.
* ΔH_f (0 K): 353 meV/atom
* crystal system: tetragonal

The following is a PBE-GGA calculation of a geometry-optimized Tl2CdRu structure, from Alexandria.

Lattice parameters (Å, degrees): 4.208 4.208 9.372 90.00 90.00 90.00
Space group I-4m2 (No. 119)
Inequivalent atoms, fractional coordinates:
Tl 0.000 0.000 0.000 [2 per cell]
Tl 0.000 0.500 0.250 [2 per cell]
Cd 0.000 0.500 0.750 [2 per cell]
Ru 0.000 0.000 0.500 [2 per cell]

Calculated values
* offset from the most stable computed form: 16.5 kJ/mol of atoms
* density: 12.45 g/cm3
* magnetization: 0.00 μB/f.u.
* ΔH_f (0 K): 467 meV/atom
* crystal system: tetragonal

The following is a PBE-GGA calculation of a geometry-optimized Tl2CdRu structure, from Alexandria.

Lattice parameters (Å, degrees): 3.247 3.247 8.607 90.00 90.00 90.00
Space group P4/mmm (No. 123)
Inequivalent atoms, fractional coordinates:
Tl 0.000 0.000 0.202 [2 per cell]
Cd 0.500 0.500 0.500 [1 per cell]
Ru 0.500 0.500 0.000 [1 per cell]

Calculated values
* offset from the most stable computed form: 14.4 kJ/mol of atoms
* density: 11.38 g/cm3
* magnetization: 0.00 μB/f.u.
* ΔH_f (0 K): 445 meV/atom
* crystal system: tetragonal

The following is a PBE-GGA calculation of a geometry-optimized Tl2CdRu structure, from Alexandria.

Lattice parameters (Å, degrees): 7.060 7.060 7.060 90.00 90.00 90.00
Space group F-43m (No. 216)
Inequivalent atoms, fractional coordinates:
Tl 0.000 0.000 0.000 [4 per cell]
Tl 0.250 0.250 0.250 [4 per cell]
Cd 0.000 0.000 0.500 [4 per cell]
Ru 0.250 0.250 0.750 [4 per cell]

Calculated values
* offset from the most stable computed form: 32.9 kJ/mol of atoms
* density: 11.75 g/cm3
* magnetization: 0.65 μB/f.u.
* ΔH_f (0 K): 637 meV/atom
* crystal system: cubic

The following is a PBE-GGA calculation of a geometry-optimized TlCd2Ru structure, from Alexandria.

Lattice parameters (Å, degrees): 3.133 4.743 5.463 90.00 90.00 90.00
Space group Pmm2 (No. 25)
Inequivalent atoms, fractional coordinates:
Tl 0.000 0.000 0.000 [1 per cell]
Cd 0.500 0.000 0.465 [1 per cell]
Cd 0.500 0.500 0.779 [1 per cell]
Ru 0.000 0.500 0.308 [1 per cell]

Calculated values
* offset from the most stable computed form: 14.5 kJ/mol of atoms
* density: 10.85 g/cm3
* magnetization: 0.78 μB/f.u.
* ΔH_f (0 K): 385 meV/atom
* crystal system: orthorhombic

The following is a PBE-GGA calculation of a geometry-optimized TlCd2Ru structure, from Alexandria.

Lattice parameters (Å, degrees): 10.496 3.388 5.062 90.00 115.38 90.00
Space group Cm (No. 8)
Inequivalent atoms, fractional coordinates:
Tl 0.000 0.000 0.000 [2 per cell]
Cd 0.049 0.500 0.549 [2 per cell]
Cd 0.278 0.500 0.377 [2 per cell]
Ru 0.271 0.000 0.923 [2 per cell]

Calculated values
* offset from the most stable computed form: 9.6 kJ/mol of atoms
* density: 10.83 g/cm3
* magnetization: 0.00 μB/f.u.
* ΔH_f (0 K): 334 meV/atom
* crystal system: monoclinic

The following is a PBE-GGA calculation of a geometry-optimized Tl2CdRu structure, from Alexandria.

Lattice parameters (Å, degrees): 3.3285 3.3285 27.9264 90.00 90.00 120.00
Space group R-3m (No. 166, hexagonal axes)
Inequivalent atoms, fractional coordinates:
Tl 0.0000 0.0000 0.2407 [6 per cell]
Cd 0.0000 0.0000 0.0000 [3 per cell]
Ru 0.0000 0.0000 0.5000 [3 per cell]

Calculated values
* offset from the most stable computed form: 15.9 kJ/mol of atoms
* density: 11.57 g/cm3
* magnetization: 0.27 μB/f.u.
* ΔH_f (0 K): 461 meV/atom
* crystal system: trigonal

The following is a PBE-GGA calculation of a geometry-optimized TlCd2Ru structure, from Alexandria.

Lattice parameters (Å, degrees): 3.633 3.722 6.002 90.00 90.00 90.00
Space group Pmmm (No. 47)
Inequivalent atoms, fractional coordinates:
Tl 0.000 0.000 0.000 [1 per cell]
Cd 0.500 0.500 0.274 [2 per cell]
Ru 0.000 0.000 0.500 [1 per cell]

Calculated values
* offset from the most stable computed form: 12.3 kJ/mol of atoms
* density: 10.85 g/cm3
* magnetization: 0.00 μB/f.u.
* ΔH_f (0 K): 362 meV/atom
* crystal system: orthorhombic

The following is a PBE-GGA calculation of a geometry-optimized TlCdRu structure, from Alexandria.

Lattice parameters (Å, degrees): 3.309 3.309 10.968 90.00 90.00 90.00
Space group I4mm (No. 107)
Inequivalent atoms, fractional coordinates:
Tl 0.000 0.000 0.000 [2 per cell]
Cd 0.000 0.000 0.293 [2 per cell]
Ru 0.000 0.000 0.647 [2 per cell]

Calculated values
* offset from the most stable computed form: 0.0 kJ/mol of atoms
* density: 11.56 g/cm3
* magnetization: 0.00 μB/f.u.
* ΔH_f (0 K): 462 meV/atom
* crystal system: tetragonal

The following is a PBE-GGA calculation of a geometry-optimized TlCd2Ru structure, from Alexandria.

Lattice parameters (Å, degrees): 5.753 8.139 3.442 90.00 90.00 90.00
Space group Cmmm (No. 65)
Inequivalent atoms, fractional coordinates:
Tl 0.000 0.000 0.000 [2 per cell]
Cd 0.250 0.250 0.500 [4 per cell]
Ru 0.000 0.500 0.000 [2 per cell]

Calculated values
* offset from the most stable computed form: 13.8 kJ/mol of atoms
* density: 10.93 g/cm3
* magnetization: 0.00 μB/f.u.
* ΔH_f (0 K): 378 meV/atom
* crystal system: orthorhombic

The following is a PBE-GGA calculation of a geometry-optimized TlCdRu structure, from Alexandria.

Lattice parameters (Å, degrees): 6.450 6.450 6.450 90.00 90.00 90.00
Space group F-43m (No. 216)
Inequivalent atoms, fractional coordinates:
Tl 0.000 0.000 0.000 [4 per cell]
Cd 0.000 0.000 0.500 [4 per cell]
Ru 0.250 0.250 0.250 [4 per cell]

Calculated values
* offset from the most stable computed form: 6.8 kJ/mol of atoms
* density: 10.35 g/cm3
* magnetization: 0.00 μB/f.u.
* ΔH_f (0 K): 532 meV/atom
* crystal system: cubic

The following is a PBE-GGA calculation of a geometry-optimized Tl2CdRu structure, from Alexandria.

Lattice parameters (Å, degrees): 6.986 6.986 6.986 90.00 90.00 90.00
Space group Fm-3m (No. 225)
Inequivalent atoms, fractional coordinates:
Tl 0.250 0.250 0.250 [8 per cell]
Cd 0.000 0.000 0.000 [4 per cell]
Ru 0.000 0.000 0.500 [4 per cell]

Calculated values
* offset from the most stable computed form: 29.1 kJ/mol of atoms
* density: 12.12 g/cm3
* magnetization: 0.12 μB/f.u.
* ΔH_f (0 K): 598 meV/atom
* crystal system: cubic